Record 1
Here is IrRu3Br after structural relaxation from Alexandria. Energies are from GGA-PBE.

Unit cell a=4.793 b=4.793 c=4.793 alpha=90.00 beta=90.00 gamma=90.00
Site moments in Bohr magnetons follow the coordinates.
Element x y z (fractional)
Ru 0.000 0.000 0.500  1.39
Ru 0.500 0.000 0.000  1.05
Ru 0.000 0.500 0.000  1.40
Br 0.500 0.500 0.500  0.21
Ir 0.000 0.000 0.000  0.00

## Properties
**Polymorph energy (0 for the lowest one)**: 0.00 eV per formula unit
**Electronic total energy**: -5.87 eV per atom
**Space-group type**: Pm-3m

Record 2
Here is Ir2RuBr after structural relaxation from Alexandria. Energies are from GGA-PBE.

Unit cell a=5.917 b=5.917 c=5.917 alpha=152.84 beta=135.72 gamma=52.72
Element x y z (fractional)
Ru 0.750 0.250 0.500
Ir 0.970 0.970 0.000
Ir 0.530 0.530 0.000
Br 0.250 0.750 0.500

## Properties
**Polymorph energy (0 for the lowest one)**: 1.03 eV per formula unit
**Electronic total energy**: -6.37 eV per atom
**Space-group type**: Immm